Entry 1:
The following is a PBE calculation of an optimized crystal structure of Tb6GaTe3S2, from Alexandria via LeMat-Bulk.

Crystal system   monoclinic
Raw total energy   -5.508 eV per atom
Uncorrected formation energy   -33.8 kcal/mol of atoms

The structure in CIF format:
```
data_Tb6GaTe3S2
_chemical_formula_sum 'Tb6 Ga1 Te3 S2'
_space_group_name_H-M_alt 'P 1'
_space_group_IT_number 1
_cell_length_a 7.166
_cell_length_b 7.166
_cell_length_c 7.480
_cell_angle_alpha 99.18
_cell_angle_beta 99.18
_cell_angle_gamma 119.89
loop_
_space_group_symop_operation_xyz
'x,y,z'
loop_
_atom_site_label
_atom_site_fract_x
_atom_site_fract_y
_atom_site_fract_z
Tb1 0.929 0.594 0.785
Tb2 0.594 0.929 0.785
Tb3 0.264 0.264 0.787
Tb4 0.736 0.736 0.213
Tb5 0.406 0.071 0.215
Tb6 0.071 0.406 0.215
Ga1 0.000 0.000 0.000
Te1 0.834 0.166 0.500
Te2 0.166 0.834 0.500
Te3 0.500 0.500 0.500
S1 0.667 0.333 0.000
S2 0.333 0.667 0.000
```



Entry 2:
The following is a PBE calculation of an optimized crystal structure of HfH2PtN, from Alexandria via LeMat-Bulk.

Crystal system   tetragonal
Raw total energy   -5.349 eV per atom
Polymorph energy (0 for the lowest one)   1.290 eV per atom

The structure in CIF format:
```
data_HfH2PtN
_chemical_formula_sum 'Hf1 H2 Pt1 N1'
_space_group_name_H-M_alt 'P 1'
_space_group_IT_number 1
_cell_length_a 3.979
_cell_length_b 3.743
_cell_length_c 3.979
_cell_angle_alpha 90.00
_cell_angle_beta 90.00
_cell_angle_gamma 90.00
loop_
_space_group_symop_operation_xyz
'x,y,z'
loop_
_atom_site_label
_atom_site_fract_x
_atom_site_fract_y
_atom_site_fract_z
Pt1 0.000 0.500 0.000
Hf1 0.500 0.500 0.500
N1 0.000 0.000 0.000
H1 0.500 0.000 0.000
H2 0.000 0.000 0.500
```



Entry 3:
The following is a PBE calculation of an optimized crystal structure of Li2Tb2TmTl2, from Alexandria via LeMat-Bulk.

Crystal system   trigonal
ΔE_f   -0.168 eV/atom
Raw total energy   -3.353 eV per atom

The structure in CIF format:
```
data_Li2Tb2TmTl2
_chemical_formula_sum 'Li2 Tb2 Tm1 Tl2'
_space_group_name_H-M_alt 'P 1'
_space_group_IT_number 1
_cell_length_a 4.797
_cell_length_b 4.797
_cell_length_c 9.380
_cell_angle_alpha 75.18
_cell_angle_beta 75.18
_cell_angle_gamma 60.00
loop_
_space_group_symop_operation_xyz
'x,y,z'
loop_
_atom_site_label
_atom_site_fract_x
_atom_site_fract_y
_atom_site_fract_z
Tb1 0.874 0.874 0.379
Tb2 0.126 0.126 0.621
Tm1 0.000 0.000 0.000
Tl1 0.736 0.736 0.791
Tl2 0.264 0.264 0.209
Li1 0.393 0.393 0.821
Li2 0.607 0.607 0.179
```



Entry 4:
The following is a PBE calculation of an optimized crystal structure of TlGeCl6, from Alexandria via LeMat-Bulk.

Crystal system   trigonal
Raw total energy   -2.910 eV per atom
Uncorrected formation energy   -15.0 kcal/mol of atoms

The structure in CIF format:
```
data_TlGeCl6
_chemical_formula_sum 'Tl1 Ge1 Cl6'
_space_group_name_H-M_alt 'P 1'
_space_group_IT_number 1
_cell_length_a 6.536
_cell_length_b 6.537
_cell_length_c 7.053
_cell_angle_alpha 62.41
_cell_angle_beta 62.42
_cell_angle_gamma 60.01
loop_
_space_group_symop_operation_xyz
'x,y,z'
loop_
_atom_site_label
_atom_site_fract_x
_atom_site_fract_y
_atom_site_fract_z
Cl1 0.206 0.951 0.223
Cl2 0.794 0.049 0.777
Cl3 0.951 0.620 0.223
Cl4 0.620 0.206 0.223
Cl5 0.380 0.794 0.777
Cl6 0.049 0.380 0.777
Tl1 0.500 0.500 0.500
Ge1 0.000 0.000 0.000
```



Entry 5:
The following is a PBE calculation of an optimized crystal structure of LaMgH, from Alexandria via LeMat-Bulk.

Crystal system   tetragonal
Raw total energy   -3.348 eV per atom
Polymorph energy (0 for the lowest one)   0.144 eV per atom

The structure in CIF format:
```
data_LaMgH
_chemical_formula_sum 'La1 Mg1 H1'
_space_group_name_H-M_alt 'P 1'
_space_group_IT_number 1
_cell_length_a 3.330
_cell_length_b 3.330
_cell_length_c 6.655
_cell_angle_alpha 104.49
_cell_angle_beta 104.49
_cell_angle_gamma 90.00
loop_
_space_group_symop_operation_xyz
'x,y,z'
loop_
_atom_site_label
_atom_site_fract_x
_atom_site_fract_y
_atom_site_fract_z
Mg1 0.013 0.013 0.025
La1 0.729 0.729 0.458
H1 0.258 0.258 0.517
```



Entry 6:
The following is a PBE calculation of an optimized crystal structure of Li2TlAsBr6, from Alexandria via LeMat-Bulk.

Crystal system   trigonal
Raw total energy   -3.041 eV per atom
Uncorrected formation energy   -22.0 kcal/mol of atoms

The structure in CIF format:
```
data_Li2TlAsBr6
_chemical_formula_sum 'Li2 Tl1 As1 Br6'
_space_group_name_H-M_alt 'P 1'
_space_group_IT_number 1
_cell_length_a 6.825
_cell_length_b 6.826
_cell_length_c 8.825
_cell_angle_alpha 67.28
_cell_angle_beta 67.24
_cell_angle_gamma 59.99
loop_
_space_group_symop_operation_xyz
'x,y,z'
loop_
_atom_site_label
_atom_site_fract_x
_atom_site_fract_y
_atom_site_fract_z
Br1 0.058 0.378 0.859
Br2 0.705 0.058 0.859
Br3 0.254 0.928 0.244
Br4 0.927 0.575 0.244
Br5 0.378 0.705 0.859
Br6 0.574 0.254 0.244
As1 0.316 0.316 0.051
Li1 0.647 0.647 0.059
Li2 0.985 0.985 0.044
Tl1 0.816 0.816 0.551
```